Dy2Pb2O5 | OQMD | GGA-PBE | relaxed; E_tot = -5.959 eV/atom; magnetization = 0.18 Bohr magnetons per cell; space group = P4/mmm
1.0
-6.071 -1.791 -3.567
0.134 -4.062 1.812
-2.441 1.448 3.427
O Pb Dy
5 2 2
Direct
0.227 0.000 0.500 O
0.773 0.500 0.000 O
0.500 0.500 0.500 O
0.773 0.000 0.500 O
0.227 0.500 0.000 O
0.794 0.500 0.500 Pb
0.206 0.500 0.500 Pb
0.500 0.000 0.000 Dy
0.000 0.000 0.000 Dy



DySbPb2O6 | OQMD | GGA-PBE | relaxed; E_tot = -6.298 eV/atom; magnetization = 0.00 Bohr magnetons per cell; space group = P-1
1.0
-4.755 -1.814 -0.992
-0.841 -3.483 3.846
-2.230 3.879 3.526
O Pb Sb Dy
6 2 1 1
Direct
0.720 0.265 0.257 O
0.295 0.706 0.258 O
0.280 0.735 0.743 O
0.705 0.294 0.742 O
0.745 0.733 0.963 O
0.255 0.267 0.037 O
0.296 0.295 0.465 Pb
0.704 0.705 0.535 Pb
0.500 0.500 0.000 Sb
0.000 0.000 0.000 Dy



DySbPb2O6 | OQMD | GGA-PBE | relaxed; E_tot = -5.426 eV/atom; magnetization = 0.00 Bohr magnetons per cell; space group = Fm-3m
1.0
-3.370 -4.756 1.495
-4.930 -1.317 -3.190
-0.081 -4.864 -3.543
Pb O Dy Sb
2 6 1 1
Direct
0.750 0.750 0.750 Pb
0.250 0.250 0.250 Pb
0.500 0.000 0.500 O
0.000 0.500 0.500 O
0.000 0.500 0.000 O
0.000 0.000 0.500 O
0.500 0.000 0.000 O
0.500 0.500 0.000 O
0.000 0.000 0.000 Dy
0.500 0.500 0.500 Sb



Dy2TePbO6 | OQMD | GGA-PBE | relaxed; E_tot = -5.827 eV/atom; magnetization = 0.01 Bohr magnetons per cell; space group = I4/mmm
1.0
-3.011 3.011 4.268
3.011 -3.011 4.268
3.011 3.011 -4.268
Dy Te O Pb
2 1 6 1
Direct
0.250 0.750 0.500 Dy
0.750 0.250 0.500 Dy
0.500 0.500 0.000 Te
0.266 0.266 0.000 O
0.734 0.734 0.468 O
0.266 0.734 0.000 O
0.734 0.734 0.000 O
0.734 0.266 0.000 O
0.266 0.266 0.532 O
0.000 0.000 0.000 Pb



Dy2Pd2O5 | OQMD | GGA-PBE | relaxed; E_tot = -6.609 eV/atom; magnetization = 0.01 Bohr magnetons per cell; space group = P4/mmm
1.0
6.889 0.000 0.000
0.000 4.000 0.000
0.000 0.000 4.000
O Pd Dy
5 2 2
Direct
0.226 0.000 0.500 O
0.500 0.500 0.500 O
0.774 0.500 0.000 O
0.774 0.000 0.500 O
0.226 0.500 0.000 O
0.810 0.500 0.500 Pd
0.190 0.500 0.500 Pd
0.000 0.000 0.000 Dy
0.500 0.000 0.000 Dy



Dy2Pd2O5 | OQMD | GGA-PBE | relaxed; E_tot = -6.492 eV/atom; magnetization = 0.38 Bohr magnetons per cell; space group = P4/mmm
1.0
8.969 0.000 0.000
0.000 3.789 0.000
0.000 0.000 3.789
Pd O Dy
2 5 2
Direct
0.000 0.000 0.000 Pd
0.500 0.000 0.000 Pd
0.137 0.500 0.000 O
0.863 0.500 0.000 O
0.137 0.000 0.500 O
0.500 0.500 0.500 O
0.863 0.000 0.500 O
0.744 0.500 0.500 Dy
0.256 0.500 0.500 Dy